Entry 1:
Here is a relaxed BeReO2 crystal from Alexandria. Energies are from PBE.

Results
- Total magnetization: 0.00 μB/cell
- Calculated total energy: -7.9704 eV/atom
- Formation energy from raw total energies: -1.448 eV/atom
- Calculated volume: 9.104 Å³/atom

Cell: 6.0172 6.0172 6.0172 Å, 25.83 25.83 25.83°
Sites, in units of the cell vectors:
Be 0.5000 0.5000 0.5000
O 0.1106 0.1106 0.1106
Re 0.0000 0.0000 0.0000
O 0.8894 0.8894 0.8894

Entry 2:
Here is a relaxed Mn2PtRh2 crystal from Alexandria. Energies are from PBE.

Results
- Calculated formation energy: 146 meV/atom
- Total magnetization: 0.00 μB/cell
- Calculated total energy: -7.6704 eV/atom
- Distance to the lowest polymorph of the same formula: 0.24 eV per formula unit
- Calculated volume: 13.579 Å³/atom

Cell: 7.1531 7.1531 2.6539 Å, 90.00 90.00 90.00°
Sites, in units of the cell vectors:
Pt 0.0000 0.0000 0.0000
Rh 0.1282 0.3718 0.0000
Pt 0.5000 0.5000 0.0000
Mn 0.1687 0.6687 0.5000
Rh 0.8718 0.6282 0.0000
Mn 0.3313 0.1687 0.5000
Rh 0.6282 0.1282 0.0000
Rh 0.3718 0.8718 0.0000
Mn 0.8313 0.3313 0.5000
Mn 0.6687 0.8313 0.5000

Entry 3:
Here is a relaxed KNbPd3 crystal from Alexandria. Energies are from PBE.

Results
- Calculated formation energy: 1809 meV/atom
- Total magnetization: 0.01 μB/cell
- Calculated total energy: -3.5401 eV/atom
- Distance to the lowest polymorph of the same formula: 6.34 eV per formula unit
- Calculated volume: 22.266 Å³/atom

Cell: 4.8107 4.8107 4.8107 Å, 90.00 90.00 90.00°
Sites, in units of the cell vectors:
Pd 0.0000 0.5000 0.0000
Pd 0.5000 0.0000 0.0000
Pd 0.0000 0.0000 0.5000
K 0.0000 0.0000 0.0000
Nb 0.5000 0.5000 0.5000

Entry 4:
Here is a relaxed LiV2CuTc crystal from Alexandria. Energies are from PBE.

Results
- Calculated formation energy: 1152 meV/atom
- Total magnetization: 1.83 μB/cell
- Calculated total energy: -5.7708 eV/atom
- Calculated volume: 18.575 Å³/atom

Cell: 4.4515 4.6869 4.4515 Å, 90.00 90.00 90.00°
Site moments in Bohr magnetons follow the coordinates.
Sites, in units of the cell vectors:
V 0.0000 0.0000 0.5000  0.64
V 0.5000 0.0000 0.0000  1.20
Tc 0.0000 0.0000 0.0000  -0.29
Li 0.0000 0.5000 0.0000  -0.02
Cu 0.5000 0.5000 0.5000  0.01

Entry 5:
Here is a relaxed Sr6Cd5Hg crystal from Alexandria. Energies are from PBE.

Results
- Calculated formation energy: -367 meV/atom
- Total magnetization: 0.00 μB/cell
- Calculated total energy: -1.6142 eV/atom
- Calculated volume: 33.164 Å³/atom

Cell: 5.7582 8.0193 9.0866 Å, 90.00 71.53 90.00°
Sites, in units of the cell vectors:
Sr 0.8348 0.2492 0.3304
Sr 0.1652 0.2492 0.6696
Cd 0.3333 0.5000 0.3334
Sr 0.5000 0.2468 0.0000
Cd 0.3299 0.0000 0.3401
Cd 0.6667 0.5000 0.6666
Cd 0.6701 0.0000 0.6599
Sr 0.1652 0.7508 0.6696
Sr 0.8348 0.7508 0.3304
Hg 0.0000 0.0000 0.0000
Cd 0.0000 0.5000 0.0000
Sr 0.5000 0.7532 0.0000

Entry 6:
Here is a relaxed CuTcTe2 crystal from Alexandria. Energies are from PBE.

Results
- Total magnetization: 0.00 μB/cell
- Calculated total energy: -5.0496 eV/atom
- Formation energy from raw total energies: 0.137 eV/atom
- Distance to the lowest polymorph of the same formula: 0.00 eV per formula unit
- Calculated volume: 21.933 Å³/atom

Cell: 3.4221 3.4221 7.4914 Å, 90.00 90.00 90.01°
Sites, in units of the cell vectors:
Te 0.0000 0.0000 0.8970
Cu 0.0000 0.0000 0.5251
Tc 0.5000 0.5000 0.7189
Te 0.5000 0.5000 0.3590

Entry 7:
Here is a relaxed CoRe3As crystal from Alexandria. Energies are from PBE.

Results
- Calculated formation energy: 1984 meV/atom
- Total magnetization: 0.00 μB/cell
- Calculated total energy: -7.8360 eV/atom
- Distance to the lowest polymorph of the same formula: 1.26 eV per formula unit
- Calculated volume: 18.050 Å³/atom

Cell: 4.4856 4.4856 4.4856 Å, 90.00 90.00 90.00°
Sites, in units of the cell vectors:
Re 0.5000 0.0000 0.0000
Co 0.5000 0.5000 0.5000
As 0.0000 0.0000 0.0000
Re 0.0000 0.5000 0.0000
Re 0.0000 0.0000 0.5000

Entry 8:
Here is a relaxed Tl4Bi4Au crystal from Alexandria. Energies are from PBE.

Results
- Calculated formation energy: -1 meV/atom
- Total magnetization: 0.00 μB/cell
- Calculated total energy: -3.1413 eV/atom
- Calculated volume: 31.374 Å³/atom

Cell: 6.3473 9.4326 9.4326 Å, 90.00 90.00 90.00°
Sites, in units of the cell vectors:
Bi 0.1490 0.6870 0.5956
Tl 0.3527 0.4323 0.8218
Bi 0.6490 0.0956 0.8130
Tl 0.8527 0.3218 0.0677
Bi 0.3510 0.1870 0.0956
Au 0.0000 0.0000 0.0000
Au 0.5000 0.5000 0.5000
Bi 0.8510 0.4044 0.6870
Tl 0.1473 0.0677 0.6782
Tl 0.3527 0.5677 0.1782
Bi 0.3510 0.8130 0.9044
Bi 0.1490 0.3130 0.4044
Bi 0.6490 0.9044 0.1870
Tl 0.6473 0.8218 0.5677
Tl 0.1473 0.9323 0.3218
Tl 0.6473 0.1782 0.4323
Tl 0.8527 0.6782 0.9323
Bi 0.8510 0.5956 0.3130

Entry 9:
Here is a relaxed BeSe3 crystal from Alexandria. Energies are from PBE.

Results
- Total magnetization: 0.00 μB/cell
- Calculated total energy: -3.5265 eV/atom
- Formation energy from raw total energies: 0.018 eV/atom
- Distance to the lowest polymorph of the same formula: 0.31 eV per formula unit
- Calculated volume: 21.442 Å³/atom

Cell: 3.3945 5.2700 7.1406 Å, 42.18 90.00 90.00°
Sites, in units of the cell vectors:
Se 0.5000 0.8659 0.8411
Se 0.0000 0.5000 0.5000
Se 0.5000 0.1341 0.1589
Be 0.0000 0.0000 0.0000

Entry 10:
Here is a relaxed SbSe crystal from Alexandria. Energies are from PBE.

Results
- Total magnetization: 0.00 μB/cell
- Calculated total energy: -3.8473 eV/atom
- Formation energy from raw total energies: -0.044 eV/atom
- Calculated volume: 27.454 Å³/atom

Cell: 3.7814 6.6446 8.7414 Å, 90.00 90.00 90.00°
Sites, in units of the cell vectors:
Sb 0.2500 0.0815 0.7977
Sb 0.7500 0.5815 0.7023
Se 0.2500 0.7444 0.5030
Sb 0.7500 0.9185 0.2023
Se 0.2500 0.7556 0.0030
Se 0.7500 0.2556 0.4970
Se 0.7500 0.2444 0.9970
Sb 0.2500 0.4185 0.2977

Entry 11:
Here is a relaxed Li2PbW crystal from Alexandria. Energies are from PBE.

Results
- Calculated formation energy: 891 meV/atom
- Total magnetization: 0.00 μB/cell
- Calculated total energy: -4.2317 eV/atom
- Calculated volume: 18.250 Å³/atom

Cell: 7.2852 7.2852 5.8399 Å, 51.41 51.41 90.00°
Sites, in units of the cell vectors:
Li 0.6284 0.1250 0.2500
W 0.2500 0.7500 0.5000
W 0.5000 0.5000 0.0000
Li 0.3750 0.3716 0.7500
Pb 0.0000 0.0000 0.0000
Pb 0.7500 0.2500 0.5000
Li 0.1216 0.6250 0.2500
Li 0.8750 0.8784 0.7500

Entry 12:
Here is a relaxed RbTiRu2Pb crystal from Alexandria. Energies are from PBE.

Results
- Calculated formation energy: 1713 meV/atom
- Total magnetization: 0.01 μB/cell
- Calculated total energy: -4.5118 eV/atom
- Calculated volume: 27.840 Å³/atom

Cell: 5.1656 5.2166 5.1656 Å, 90.00 90.00 90.00°
Sites, in units of the cell vectors:
Ru 0.5000 0.0000 0.0000
Rb 0.5000 0.5000 0.5000
Ru 0.0000 0.0000 0.5000
Pb 0.0000 0.0000 0.0000
Ti 0.0000 0.5000 0.0000